(1)
## PuZrUPt (GGA-PBE)

Data for a relaxed structure of PuZrUPt.

abc: 4.851 4.851 4.851
angles: 60.00 60.00 60.00
Sites, in units of the cell vectors:
U (0.750, 0.750, 0.750)
Zr (0.500, 0.500, 0.500)
Pt (0.250, 0.250, 0.250)
Pu (0.000, 0.000, 0.000)

## Properties
* formation energy: -222 meV per atom
* symmetry: F-43m, No. 216

=====

(2)
## CaSb2HI (GGA-PBE)

Data for a relaxed structure of CaSb2HI.

abc: 6.049 6.049 6.126
angles: 90.00 90.00 90.00
Sites, in units of the cell vectors:
I (0.000, 0.000, 0.500)
Sb (0.000, 0.500, 0.000)
Sb (0.500, 0.000, 0.000)
Ca (0.000, 0.000, 0.000)
H (0.500, 0.500, 0.500)

## Properties
* symmetry: P4/mmm, No. 123
* offset from the most stable computed form: 861 meV/atom

=====

Number 1: magnetic moment 6.96 μB/cell, volume 20.18 A^3/atom, E_tot -10.27 eV per atom. Number 2: magnetic moment 2.82 μB/cell, volume 44.83 A^3/atom, E_tot -2.36 eV per atom.